Entry 1:
# PBE SbPdSe, optimized geometry
# ρ: 7.82 g cm⁻³
# Energy relative to the lowest polymorph listed for this composition: 0.1093 eV/atom
# SG: P3m1
data_SbPdSe
_cell_length_a 4.9337
_cell_length_b 3.9077
_cell_length_c 3.9077
_cell_angle_alpha 120.00
_cell_angle_beta 90.00
_cell_angle_gamma 90.00
_symmetry_space_group_name_H-M 'P 1'
_symmetry_Int_Tables_number 1
_symmetry_space_group_name_Hall 'P 1'
loop_
_atom_site_label
_atom_site_type_symbol
_atom_site_fract_x
_atom_site_fract_y
_atom_site_fract_z
Se1 Se 0.6152 0.3333 0.6667
Pd1 Pd 0.3384 0.6667 0.3333
Sb1 Sb 0.0464 0.0000 0.0000

Entry 2:
# PBE SbPdSe2, optimized geometry
# ρ: 6.26 g cm⁻³
# SG: P2_1
data_SbPdSe2
_cell_length_a 3.8061
_cell_length_b 5.4914
_cell_length_c 9.9805
_cell_angle_alpha 90.01
_cell_angle_beta 101.01
_cell_angle_gamma 90.01
_symmetry_space_group_name_H-M 'P 1'
_symmetry_Int_Tables_number 1
_symmetry_space_group_name_Hall 'P 1'
loop_
_atom_site_label
_atom_site_type_symbol
_atom_site_fract_x
_atom_site_fract_y
_atom_site_fract_z
Sb1 Sb 0.8490 0.4678 0.9356
Se1 Se 0.5333 0.6036 0.2538
Sb2 Sb 0.0518 0.9677 0.2804
Se2 Se 0.7384 0.5597 0.6741
Se3 Se 0.1644 0.0597 0.5419
Pd1 Pd 0.2873 0.8024 0.7691
Se4 Se 0.3681 0.1036 0.9621
Pd2 Pd 0.6155 0.3024 0.4469

no.,formation energy from raw total energies (eV/atom)
1,-0.3081
2,-0.1634